Record 1
{
  "formula": "ZrZn2Hg",
  "functional": "PBEsol",
  "state": "relaxed",
  "m_tot_mub_per_cell": 0.0,
  "delta_e_f_mev_per_atom": -235.1,
  "final_energy_ev_per_atom": -3.440,
  "lattice_angstrom": [[-0.8659, -0.7834, 3.7235], [-3.1399, -2.5524, -1.2672], [2.6899, -3.2772, -0.0640]],
  "species": ["Hg", "Zn", "Zn", "Zr"],
  "frac_coords": [[0.5000, 0.0000, 0.0000], [0.0000, 0.5000, 0.0000], [0.0000, 0.0000, 0.5000], [0.5000, 0.5000, 0.5000]]
}



Record 2
{
  "formula": "La2Te2I",
  "functional": "PBEsol",
  "state": "relaxed",
  "m_tot_mub_per_cell": 0.0,
  "final_energy_ev_per_atom": -5.492,
  "lattice_angstrom": [[-2.9654, 2.8560, 0.6087], [-3.4888, -1.9737, -7.7361], [-5.0200, -6.0225, 3.8004]],
  "species": ["I", "I", "Te", "Te", "Te", "Te", "La", "La", "La", "La"],
  "frac_coords": [[0.0000, 0.0000, 0.0000], [0.0000, 0.5000, 0.5000], [0.5000, 0.1414, 0.6414], [0.5000, 0.6414, 0.8586], [0.5000, 0.3586, 0.1414], [0.5000, 0.8586, 0.3586], [0.0000, 0.6537, 0.1537], [0.0000, 0.3463, 0.8463], [0.0000, 0.8463, 0.6537], [0.0000, 0.1537, 0.3463]]
}



Record 3
{
  "formula": "Re8Ru",
  "functional": "PBEsol",
  "state": "relaxed",
  "m_tot_mub_per_cell": 0.0,
  "delta_e_f_mev_per_atom": 60.8,
  "final_energy_ev_per_atom": -12.920,
  "lattice_angstrom": [[3.8627, 0.0000, 0.0000], [1.9313, 5.8067, 0.0000], [1.9313, 0.0000, 5.8067]],
  "species": ["Re", "Re", "Re", "Re", "Re", "Re", "Re", "Re", "Ru"],
  "frac_coords": [[0.6651, 0.0000, 0.6698], [0.0000, 0.3307, 0.6693], [0.0000, 0.6693, 0.3307], [0.6693, 0.3307, 0.3307], [0.6651, 0.6698, 0.0000], [0.3349, 0.0000, 0.3302], [0.3349, 0.3302, 0.0000], [0.3307, 0.6693, 0.6693], [0.0000, 0.0000, 0.0000]]
}



Record 4
{
  "formula": "AgRuRh2",
  "functional": "PBEsol",
  "state": "relaxed",
  "relative_energy_mev_per_atom": 228,
  "m_tot_mub_per_cell": 0.0,
  "delta_e_f_mev_per_atom": 348.4,
  "final_energy_ev_per_atom": -7.092,
  "lattice_angstrom": [[-2.8206, -1.6232, 1.9532], [0.8089, -3.3412, -1.6085], [3.4839, 1.6802, 2.7399]],
  "species": ["Ru", "Rh", "Rh", "Ag"],
  "frac_coords": [[0.5000, 0.5000, 0.0000], [0.7500, 0.2500, 0.5000], [0.0000, 0.0000, 0.0000], [0.2500, 0.7500, 0.5000]]
}



Record 5
{
  "formula": "HfAgMoSe2",
  "functional": "PBEsol",
  "state": "relaxed",
  "m_tot_mub_per_cell": 3.2,
  "final_energy_ev_per_atom": -5.788,
  "lattice_angstrom": [[5.0303, 0.0000, 0.0000], [0.0000, 5.0303, 0.0000], [0.0000, 0.0000, 5.0329]],
  "species": ["Mo", "Hf", "Ag", "Se", "Se"],
  "frac_coords": [[0.0000, 0.0000, 0.5000], [0.0000, 0.0000, 0.0000], [0.5000, 0.5000, 0.5000], [0.5000, 0.0000, 0.0000], [0.0000, 0.5000, 0.0000]]
}



Record 6
{
  "formula": "Na2PtSe",
  "functional": "PBEsol",
  "state": "relaxed",
  "m_tot_mub_per_cell": 0.0,
  "final_energy_ev_per_atom": -3.635,
  "lattice_angstrom": [[-3.9791, -0.7473, 2.9160], [-5.1580, -1.4437, -3.1397], [-0.6756, -5.8920, 1.8368]],
  "species": ["Pt", "Pt", "Na", "Na", "Na", "Na", "Se", "Se"],
  "frac_coords": [[0.7500, 0.5000, 0.5000], [0.0000, 0.0000, 0.0000], [0.1321, 0.9929, 0.4929], [0.6179, 0.0071, 0.5071], [0.3750, 0.4929, 0.0071], [0.8750, 0.5071, 0.9929], [0.2500, 0.5000, 0.5000], [0.5000, 0.0000, 0.0000]]
}



Record 7
{
  "formula": "FeReIr2",
  "functional": "PBEsol",
  "state": "relaxed",
  "relative_energy_mev_per_atom": 0,
  "m_tot_mub_per_cell": 1.5,
  "delta_e_f_mev_per_atom": -142.7,
  "final_energy_ev_per_atom": -10.628,
  "lattice_angstrom": [[-1.4399, 1.5391, -1.6841], [-2.9823, 0.4665, 2.9760], [2.1970, 3.8108, 1.6043]],
  "species": ["Ir", "Ir", "Fe", "Re"],
  "frac_coords": [[0.0000, 0.5000, 0.7069], [0.0000, 0.0000, 0.0520], [0.5000, 0.5000, 0.2096], [0.5000, 0.0000, 0.5315]]
}



Record 8
{
  "formula": "TaCu2Sb",
  "functional": "PBEsol",
  "state": "relaxed",
  "m_tot_mub_per_cell": 0.0,
  "final_energy_ev_per_atom": -6.184,
  "lattice_angstrom": [[3.1094, 0.0428, 0.0628], [-0.0705, 4.6428, 0.1410], [-0.0705, -1.5692, 4.3718]],
  "species": ["Cu", "Cu", "Sb", "Ta"],
  "frac_coords": [[0.0000, 0.0000, 0.5000], [0.0000, 0.5000, 0.0000], [0.5000, 0.0000, 0.0000], [0.5000, 0.5000, 0.5000]]
}



Record 9
{
  "formula": "LiCaHg",
  "functional": "PBEsol",
  "state": "relaxed",
  "relative_energy_mev_per_atom": 0,
  "m_tot_mub_per_cell": 0.0,
  "delta_e_f_mev_per_atom": -444.1,
  "final_energy_ev_per_atom": -2.000,
  "lattice_angstrom": [[-2.2161, -2.8162, -2.6474], [5.3118, 1.4120, -2.1995], [2.3943, -4.5649, 2.8517]],
  "species": ["Ca", "Ca", "Hg", "Hg", "Li", "Li"],
  "frac_coords": [[0.7022, 0.4045, 0.2500], [0.2978, 0.5955, 0.7500], [0.4101, 0.8201, 0.2500], [0.5899, 0.1799, 0.7500], [0.0000, 0.0000, 0.0000], [0.0000, 0.0000, 0.5000]]
}



Record 10
{
  "formula": "KBa2Zr",
  "functional": "PBEsol",
  "state": "relaxed",
  "relative_energy_mev_per_atom": 103,
  "m_tot_mub_per_cell": 2.9,
  "delta_e_f_mev_per_atom": 770.3,
  "final_energy_ev_per_atom": -2.860,
  "lattice_angstrom": [[-1.0629, -3.7080, 3.8418], [-1.3213, -3.6127, -3.8524], [6.7716, 1.8435, -0.2046]],
  "species": ["Ba", "Ba", "K", "Zr"],
  "frac_coords": [[0.7500, 0.2500, 0.5000], [0.0000, 0.0000, 0.0000], [0.5000, 0.5000, 0.0000], [0.2500, 0.7500, 0.5000]]
}



Record 11
{
  "formula": "MgZnAs2",
  "functional": "PBEsol",
  "state": "relaxed",
  "relative_energy_mev_per_atom": 218,
  "m_tot_mub_per_cell": 0.0,
  "delta_e_f_mev_per_atom": 119.3,
  "final_energy_ev_per_atom": -3.259,
  "lattice_angstrom": [[2.9932, 0.0000, 0.0000], [1.4966, 2.5922, 0.0000], [1.4966, 0.8641, 9.6729]],
  "species": ["As", "As", "Zn", "Mg"],
  "frac_coords": [[0.7622, 0.7622, 0.7135], [0.9854, 0.9854, 0.0438], [0.2476, 0.2476, 0.2573], [0.5048, 0.5048, 0.4855]]
}



Record 12
{
  "formula": "ScNiOs",
  "functional": "PBEsol",
  "state": "relaxed",
  "m_tot_mub_per_cell": 0.0,
  "delta_e_f_mev_per_atom": -68.8,
  "final_energy_ev_per_atom": -8.395,
  "lattice_angstrom": [[-2.7465, 0.7224, -1.0600], [-1.2240, -3.9373, 0.4882], [-0.4796, 2.7223, 3.0980]],
  "species": ["Ni", "Sc", "Os"],
  "frac_coords": [[0.8333, 0.0000, 0.0000], [0.3334, 0.3333, 0.6667], [0.8334, 0.6667, 0.3333]]
}